No. 1
DFT (PBE-GGA) results for a geometry-optimized Tm2MnFe3 structure.

ΔE_f	-0.08	eV/atom
total moment	5.72	μB per formula unit

The structure in CIF format:
```
data_Tm2MnFe3
_cell_length_a 5.0505
_cell_length_b 5.0505
_cell_length_c 12.5146
_cell_angle_alpha 90.00
_cell_angle_beta 90.00
_cell_angle_gamma 120.00
_space_group_name_H-M_alt 'R -3 m'
_space_group_IT_number 166
_space_group_name_Hall '-R 3 2"'
loop_
_atom_site_label
_atom_site_fract_x
_atom_site_fract_y
_atom_site_fract_z
Tm1 0.0000 0.0000 0.1242
Mn1 0.0000 0.0000 0.5000
Fe1 0.0000 0.5000 0.0000
```



No. 2
DFT (PBE-GGA) results for a geometry-optimized Rb6TlCl8 structure.

total moment	0.46	μB per formula unit
formation energy from raw total energies	-1.662	eV per atom

The structure in CIF format:
```
data_Rb6TlCl8
_cell_length_a 9.5557
_cell_length_b 9.5557
_cell_length_c 7.0262
_cell_angle_alpha 90.00
_cell_angle_beta 90.00
_cell_angle_gamma 120.00
_space_group_name_H-M_alt 'P -3 1 m'
_space_group_IT_number 162
_space_group_name_Hall '-P 3 2'
loop_
_atom_site_label
_atom_site_fract_x
_atom_site_fract_y
_atom_site_fract_z
Rb1 0.0000 0.3777 0.2183
Tl1 0.0000 0.0000 0.5000
Cl1 0.0000 0.2675 0.7043
Cl2 0.3333 0.6667 0.0000
```



No. 3
DFT (PBE-GGA) results for a geometry-optimized Zn2GaPt4 structure.

ΔE_f	-0.44	eV/atom
total moment	0.00	μB per formula unit

The structure in CIF format:
```
data_Zn2GaPt4
_cell_length_a 6.050
_cell_length_b 6.050
_cell_length_c 6.014
_cell_angle_alpha 90.00
_cell_angle_beta 90.00
_cell_angle_gamma 90.00
_space_group_name_H-M_alt 'I 4/m m m'
_space_group_IT_number 139
_space_group_name_Hall '-I 4 2'
loop_
_atom_site_label
_atom_site_fract_x
_atom_site_fract_y
_atom_site_fract_z
Zn1 0.000 0.500 0.000
Ga1 0.000 0.000 0.000
Pt1 0.250 0.250 0.250
```



No. 4
DFT (PBE-GGA) results for a geometry-optimized Ho5Cd3Pt12 structure.

ΔE_f	-0.21	eV/atom
total moment	0.00	μB per formula unit

The structure in CIF format:
```
data_Ho5Cd3Pt12
_cell_length_a 15.801
_cell_length_b 15.801
_cell_length_c 15.801
_cell_angle_alpha 90.00
_cell_angle_beta 90.00
_cell_angle_gamma 90.00
_space_group_name_H-M_alt 'I a -3 d'
_space_group_IT_number 230
_space_group_name_Hall '-I 4bd 2c 3'
loop_
_atom_site_label
_atom_site_fract_x
_atom_site_fract_y
_atom_site_fract_z
Ho1 0.000 0.000 0.000
Ho2 0.000 0.250 0.375
Cd1 0.000 0.250 0.125
Pt1 0.004 0.078 0.653
```



No. 5
DFT (PBE-GGA) results for a geometry-optimized La2PmSm6Dy structure.

ΔE_f	0.11	eV/atom
total moment	0.00	μB per formula unit

The structure in CIF format:
```
data_La2PmSm6Dy
_cell_length_a 9.158
_cell_length_b 15.222
_cell_length_c 10.064
_cell_angle_alpha 90.00
_cell_angle_beta 100.10
_cell_angle_gamma 90.00
_space_group_name_H-M_alt 'C 1 2/c 1'
_space_group_IT_number 15
loop_
_space_group_symop_operation_xyz
'x,y,z'
'-x,-y,-z'
'-x,y,-z+1/2'
'x,-y,z+1/2'
'x+1/2,y+1/2,z'
'-x+1/2,-y+1/2,-z'
'-x+1/2,y+1/2,-z+1/2'
'x+1/2,-y+1/2,z+1/2'
loop_
_atom_site_label
_atom_site_fract_x
_atom_site_fract_y
_atom_site_fract_z
La1 0.241 0.048 0.041
Pm1 0.000 0.012 0.750
Sm1 0.071 0.191 0.444
Sm2 0.099 0.396 0.621
Sm3 0.201 0.220 0.811
Dy1 0.000 0.405 0.250
```



No. 6
DFT (PBE-GGA) results for a geometry-optimized Cd4PdAu3 structure.

ΔE_f	-0.23	eV/atom
total moment	0.00	μB per formula unit

The structure in CIF format:
```
data_Cd4PdAu3
_cell_length_a 9.595
_cell_length_b 6.462
_cell_length_c 4.885
_cell_angle_alpha 90.00
_cell_angle_beta 90.00
_cell_angle_gamma 90.00
_space_group_name_H-M_alt 'P m m a'
_space_group_IT_number 51
loop_
_space_group_symop_operation_xyz
'x,y,z'
'-x,-y,-z'
'-x+1/2,-y,z'
'x+1/2,y,-z'
'x+1/2,-y,-z'
'-x+1/2,y,z'
'-x,y,-z'
'x,-y,z'
loop_
_atom_site_label
_atom_site_fract_x
_atom_site_fract_y
_atom_site_fract_z
Cd1 0.000 0.244 0.000
Cd2 0.250 0.244 0.421
Pd1 0.000 0.000 0.500
Au1 0.000 0.500 0.500
Au2 0.250 0.000 0.912
Au3 0.250 0.500 0.915
```



No. 7
DFT (PBE-GGA) results for a geometry-optimized Sr2MgZrCo structure.

ΔE_f	1.46	eV/atom
total moment	4.04	μB per formula unit

The structure in CIF format:
```
data_Sr2MgZrCo
_cell_length_a 6.034
_cell_length_b 6.034
_cell_length_c 5.472
_cell_angle_alpha 90.00
_cell_angle_beta 90.00
_cell_angle_gamma 90.00
_space_group_name_H-M_alt 'P 4/m m m'
_space_group_IT_number 123
_space_group_name_Hall '-P 4 2'
loop_
_atom_site_label
_atom_site_fract_x
_atom_site_fract_y
_atom_site_fract_z
Sr1 0.000 0.500 0.000
Mg1 0.000 0.000 0.500
Zr1 0.000 0.000 0.000
Co1 0.500 0.500 0.500
```



No. 8
DFT (PBE-GGA) results for a geometry-optimized Y8SiGe5 structure.

total moment	0.00	μB per formula unit
formation energy from raw total energies	-0.869	eV per atom

The structure in CIF format:
```
data_Y8SiGe5
_cell_length_a 8.852
_cell_length_b 8.852
_cell_length_c 8.850
_cell_angle_alpha 90.00
_cell_angle_beta 90.00
_cell_angle_gamma 90.00
_space_group_name_H-M_alt 'I -4'
_space_group_IT_number 82
loop_
_space_group_symop_operation_xyz
'x,y,z'
'y,-x,-z'
'-x,-y,z'
'-y,x,-z'
'x+1/2,y+1/2,z+1/2'
'y+1/2,-x+1/2,-z+1/2'
'-x+1/2,-y+1/2,z+1/2'
'-y+1/2,x+1/2,-z+1/2'
loop_
_atom_site_label
_atom_site_fract_x
_atom_site_fract_y
_atom_site_fract_z
Y1 0.065 0.186 0.191
Y2 0.066 0.316 0.558
Si1 0.000 0.500 0.250
Ge1 0.000 0.000 0.500
Ge2 0.125 0.250 0.875
```



Number 1: density of states at the Fermi level 18.3 states/eV/cell. Number 2: density of states at the Fermi level 6.0 states/eV/cell. Number 3: density of states at the Fermi level 2.5 states/eV/cell. Number 4: density of states at the Fermi level 95.3 states/eV/cell. Number 5: density of states at the Fermi level 60.6 states/eV/cell. Number 6: density of states at the Fermi level 3.1 states/eV/cell. Number 7: density of states at the Fermi level 8.0 states/eV/cell. Number 8: density of states at the Fermi level 3.2 states/eV/cell.